Entry 1:
This record from Alexandria via LeMat-Bulk describes crystalline Hf3TiIr2 at its relaxed geometry. The functional is PBE.

Calculated values
**V**: 259.1 Å³/cell
**Calculated density**: 12.4 Mg/m³
**E**: -9.71 eV/atom
**Magnetization**: 0.0 μB/f.u.
**Crystal system**: orthorhombic
**E_form**: -267 kJ/mol of formula units

a b c (Å): 6.4356 6.4876 7.7069
angles (deg): 114.89 114.68 90.00
Fractional positions:
Ti (0.0000, 0.5000, 0.0000)
Ti (0.0000, 0.0000, 0.0000)
Ir (0.5779, 0.3633, 0.7266)
Ir (0.4221, 0.6367, 0.2734)
Ir (0.1487, 0.8633, 0.7266)
Ir (0.8513, 0.1367, 0.2734)
Hf (0.7669, 0.0169, 0.5338)
Hf (0.7669, 0.5169, 0.5338)
Hf (0.5000, 0.7500, 0.0000)
Hf (0.2331, 0.4831, 0.4662)
Hf (0.2331, 0.9831, 0.4662)
Hf (0.5000, 0.2500, 0.0000)

---

Entry 2:
This record from Alexandria via LeMat-Bulk describes crystalline KRb2I2 at its relaxed geometry. The functional is PBE.

Calculated values
**Formation energy without anion corrections**: -1.01 eV/atom
**V**: 523.4 Å³/cell
**Calculated density**: 2.9 Mg/m³
**Energy above the most stable polymorph in this dataset**: 89.6 meV/atom
**E**: -2.24 eV/atom
**Magnetization**: 0.0 μB/f.u.
**Crystal system**: tetragonal

a b c (Å): 10.8024 10.8024 4.4854
angles (deg): 90.00 90.00 90.00
Fractional positions:
I (0.1528, 0.6528, 0.5000)
I (0.6528, 0.8472, 0.5000)
I (0.3472, 0.1528, 0.5000)
I (0.8472, 0.3472, 0.5000)
Rb (0.3603, 0.8603, 0.0000)
Rb (0.6397, 0.1397, 0.0000)
Rb (0.1397, 0.3603, 0.0000)
Rb (0.8603, 0.6397, 0.0000)
K (0.5000, 0.5000, 0.0000)
K (0.0000, 0.0000, 0.0000)

---

Entry 3:
This record from Alexandria via LeMat-Bulk describes crystalline V5Ga2Ge at its relaxed geometry. The functional is PBE.

Calculated values
**V**: 224.9 Å³/cell
**Calculated density**: 6.9 Mg/m³
**E**: -7.25 eV/atom
**Magnetization**: 0.0 μB/f.u.
**Crystal system**: tetragonal
**E_form**: -170 kJ/mol of formula units

a b c (Å): 6.3849 6.3849 7.1296
angles (deg): 116.60 116.60 90.00
Fractional positions:
V (0.3215, 0.8215, 0.3175)
V (0.1785, 0.0039, 0.6825)
V (0.6785, 0.1785, 0.6825)
V (0.0000, 0.0000, 0.0000)
V (0.9961, 0.4961, 0.3175)
V (0.8215, 0.9961, 0.3175)
V (0.5039, 0.6785, 0.6825)
V (0.5000, 0.5000, 0.0000)
V (0.4961, 0.3215, 0.3175)
V (0.0039, 0.5039, 0.6825)
Ga (0.3636, 0.8636, 0.0000)
Ga (0.8636, 0.6364, 0.0000)
Ga (0.6364, 0.1364, 0.0000)
Ga (0.1364, 0.3636, 0.0000)
Ge (0.7500, 0.7500, 0.5000)
Ge (0.2500, 0.2500, 0.5000)

---

Entry 4:
This record from Alexandria via LeMat-Bulk describes crystalline LaCoH2N at its relaxed geometry. The functional is PBE.

Calculated values
**V**: 50.8 Å³/cell
**Calculated density**: 7.0 Mg/m³
**E**: -6.02 eV/atom
**Magnetization**: 0.2 μB/f.u.
**Crystal system**: tetragonal

a b c (Å): 3.6525 3.6525 3.8095
angles (deg): 90.00 90.00 90.00
Fractional positions:
La (0.5000, 0.5000, 0.5000)
Co (0.0000, 0.0000, 0.0000)
N (0.0000, 0.0000, 0.5000)
H (0.5000, 0.0000, 0.0000)
H (0.0000, 0.5000, 0.0000)